[1]
A plane-wave DFT calculation with GGA-PBE was carried out for crystalline CuCl at its relaxed geometry.

abc: 9.873 6.932 6.935
angles: 90.00 90.00 90.00
Element x y z (fractional)
Cu (0.170, 0.250, 0.000)
Cu (0.170, 0.250, 0.500)
Cu (0.206, 0.538, 0.250)
Cu (0.206, 0.962, 0.750)
Cu (0.232, 0.544, 0.750)
Cu (0.232, 0.956, 0.250)
Cu (0.768, 0.044, 0.750)
Cu (0.768, 0.456, 0.250)
Cu (0.794, 0.038, 0.250)
Cu (0.794, 0.462, 0.750)
Cu (0.830, 0.750, 0.000)
Cu (0.830, 0.750, 0.500)
Cl (0.021, 0.115, 0.250)
Cl (0.021, 0.385, 0.750)
Cl (0.307, 0.750, 0.000)
Cl (0.307, 0.750, 0.500)
Cl (0.344, 0.227, 0.750)
Cl (0.344, 0.273, 0.250)
Cl (0.656, 0.727, 0.750)
Cl (0.656, 0.773, 0.250)
Cl (0.693, 0.250, 0.000)
Cl (0.693, 0.250, 0.500)
Cl (0.979, 0.615, 0.250)
Cl (0.979, 0.885, 0.750)

## Properties
Total DFT energy (no corrections), eV/atom: -3.292
M_tot, μB/f.u.: 0.00

[2]
A plane-wave DFT calculation with GGA-PBE was carried out for crystalline Cu3Cl at its relaxed geometry.

abc: 4.229 4.229 7.226
angles: 115.74 115.74 40.42
Element x y z (fractional)
Cu (0.000, 0.000, 0.000)
Cu (0.346, 0.346, 0.155)
Cu (0.654, 0.654, 0.845)
Cl (0.500, 0.500, 0.500)

## Properties
Total DFT energy (no corrections), eV/atom: -3.395
Energy relative to the lowest polymorph listed for this composition, eV/atom: 0.122
M_tot, μB/f.u.: 0.00